Entry 1:
ScRe2Se | PBE | optimized geometry

Summary:
Volume: 201 Å³/cell
Calculated density: 12306 kg/m3
ΔE_f (raw): 0.426 eV per atom
DOS at the Fermi energy: 6.70 states/eV/f.u.

Lattice parameters (Å, degrees): 2.9774 2.9774 26.1711 90.00 90.00 120.00
Space group R-3m (No. 166, hexagonal axes)
Asymmetric unit:
Sc: 0.0000 0.0000 0.0000 [3 per cell]
Re: 0.0000 0.0000 0.2449 [6 per cell]
Se: 0.0000 0.0000 0.5000 [3 per cell]

Entry 2:
ScRe2Se | PBE | optimized geometry

Summary:
Volume: 134 Å³/cell
Calculated density: 12310 kg/m3
ΔE_f (raw): 0.537 eV per atom
DOS at the Fermi energy: 4.62 states/eV/f.u.

Lattice parameters (Å, degrees): 3.0856 4.7953 9.0498 90.00 90.00 90.00
Space group Cmmm (No. 65)
Asymmetric unit:
Sc: 0.0000 0.0000 0.0000 [2 per cell]
Re: 0.0000 0.5000 0.2520 [4 per cell]
Se: 0.0000 0.0000 0.5000 [2 per cell]

Entry 3:
ScReSe | PBE | optimized geometry

Summary:
Volume: 213 Å³/cell
Calculated density: 9671 kg/m3
ΔE_f (raw): 0.129 eV per atom
Polymorph energy (0 for the lowest one): 308.8 meV/atom
DOS at the Fermi energy: 2.97 states/eV/f.u.

Lattice parameters (Å, degrees): 3.3970 5.1518 12.1705 90.00 90.00 90.00
Space group Fmm2 (No. 42)
Asymmetric unit:
Sc: 0.0000 0.0000 0.0000 [4 per cell]
Re: 0.0000 0.0000 0.3236 [4 per cell]
Se: 0.0000 0.0000 0.6664 [4 per cell]

Entry 4:
Sc2ReSe | PBE | optimized geometry

Summary:
Volume: 257 Å³/cell
Calculated density: 6876 kg/m3
ΔE_f (raw): -0.033 eV per atom
DOS at the Fermi energy: 5.21 states/eV/f.u.

Lattice parameters (Å, degrees): 3.2918 3.2918 27.4146 90.00 90.00 120.00
Space group R-3m (No. 166, hexagonal axes)
Asymmetric unit:
Sc: 0.0000 0.0000 0.0958 [6 per cell]
Re: 0.0000 0.0000 0.5000 [3 per cell]
Se: 0.0000 0.0000 0.0000 [3 per cell]

- The highest calculated density belongs to which entry?
  number 2

- Among the records above, which one has the highest calculated density?
  number 2

Please write out number 2 again, unchanged.
ScRe2Se | PBE | optimized geometry

Summary:
Volume: 134 Å³/cell
Calculated density: 12310 kg/m3
ΔE_f (raw): 0.537 eV per atom
DOS at the Fermi energy: 4.62 states/eV/f.u.

Lattice parameters (Å, degrees): 3.0856 4.7953 9.0498 90.00 90.00 90.00
Space group Cmmm (No. 65)
Asymmetric unit:
Sc: 0.0000 0.0000 0.0000 [2 per cell]
Re: 0.0000 0.5000 0.2520 [4 per cell]
Se: 0.0000 0.0000 0.5000 [2 per cell]